A plane-wave DFT calculation with PBE with a Hubbard U was carried out for a relaxed SrMn2Fe2O7 crystal.

Calculated values
uncorrected energy = -6.907 eV per atom

The structure in CIF format:
```
data_SrMn2Fe2O7
_cell_length_a 4.2117
_cell_length_b 16.1269
_cell_length_c 4.1656
_cell_angle_alpha 90.00
_cell_angle_beta 90.00
_cell_angle_gamma 90.00
_space_group_name_H-M_alt 'I m m 2'
_space_group_IT_number 44
loop_
_space_group_symop_operation_xyz
'x,y,z'
'-x,-y,z'
'-x,y,z'
'x,-y,z'
'x+1/2,y+1/2,z+1/2'
'-x+1/2,-y+1/2,z+1/2'
'-x+1/2,y+1/2,z+1/2'
'x+1/2,-y+1/2,z+1/2'
loop_
_atom_site_label
_atom_site_fract_x
_atom_site_fract_y
_atom_site_fract_z
_atom_site_occupancy
Sr1 0.0000 0.0000 0.0000 1
Mn1 0.0000 0.2491 0.4861 1
Fe1 0.0000 0.3841 0.9893 1
O1 0.0000 0.1274 0.4860 1
O2 0.0000 0.2579 0.9860 1
O3 0.0000 0.3710 0.4857 1
O4 0.0000 0.5000 0.9764 1
```